VASP calculation (meta-GGA SCAN) on LaGe3H at its PBEsol-relaxed geometry.

* electronic total energy: -20.9176 eV per atom
* crystal system: cubic

Cell lengths 4.4231, 4.4231, 4.4231 Å; angles 90.00, 90.00, 90.00 degrees
With the nearest neighbours (Å) after each atom.
Positions (direct):
La: 0.0000 0.0000 0.0000  12 Ge 3.13
Ge: 0.0000 0.5000 0.5000  2 H 2.21
Ge: 0.5000 0.0000 0.5000  2 H 2.21
Ge: 0.5000 0.5000 0.0000  2 H 2.21
H: 0.5000 0.5000 0.5000  6 Ge 2.21